# 1
Computed, not measured: a relaxed Rb3AgI6 crystal at the PBE level of DFT.

Calculated values
* uncorrected formation energy: -886.1 meV per atom
* energy relative to the lowest polymorph listed for this composition: 0.0 kJ/mol of formula units
* space group: Cmc2_1 (36)
* total energy: -2.392 eV per atom

Lattice parameters (Å, degrees): 13.240 13.240 6.126 90.00 90.00 103.23
Positions (direct):
Rb (0.144, 0.856, 0.500)
Rb (0.176, 0.441, 0.751)
Rb (0.441, 0.176, 0.251)
Rb (0.559, 0.824, 0.751)
Rb (0.824, 0.559, 0.251)
Rb (0.856, 0.144, 0.000)
Ag (0.297, 0.703, 0.016)
Ag (0.703, 0.297, 0.516)
I (0.073, 0.659, 0.985)
I (0.159, 0.173, 0.012)
I (0.173, 0.159, 0.512)
I (0.315, 0.685, 0.501)
I (0.341, 0.927, 0.985)
I (0.431, 0.569, 0.012)
I (0.569, 0.431, 0.512)
I (0.659, 0.073, 0.485)
I (0.685, 0.315, 0.001)
I (0.827, 0.841, 0.012)
I (0.841, 0.827, 0.512)
I (0.927, 0.341, 0.485)

---

# 2
Computed, not measured: a relaxed LiTlGe2O6 crystal at the PBE level of DFT.

Calculated values
* uncorrected formation energy: -1489.0 meV per atom
* space group: C2/c (15)
* total energy: -5.815 eV per atom

Lattice parameters (Å, degrees): 7.049 7.049 5.707 104.61 104.61 85.75
Positions (direct):
Li (0.229, 0.771, 0.750)
Li (0.771, 0.229, 0.250)
Tl (0.116, 0.884, 0.250)
Tl (0.884, 0.116, 0.750)
Ge (0.220, 0.388, 0.280)
Ge (0.388, 0.220, 0.780)
Ge (0.612, 0.780, 0.220)
Ge (0.780, 0.612, 0.720)
O (0.038, 0.201, 0.163)
O (0.132, 0.621, 0.400)
O (0.201, 0.038, 0.663)
O (0.317, 0.404, 0.024)
O (0.379, 0.868, 0.100)
O (0.404, 0.317, 0.524)
O (0.596, 0.683, 0.476)
O (0.621, 0.132, 0.900)
O (0.683, 0.596, 0.976)
O (0.799, 0.962, 0.337)
O (0.868, 0.379, 0.600)
O (0.962, 0.799, 0.837)